Below is crystalline Ta2TeS at its relaxed geometry, with properties calculated at the PBE-GGA level.

Cell lengths 4.6393, 4.6393, 4.6393 Å; angles 60.00, 60.00, 60.00 degrees
Atoms (fractional coordinates):
Ta  0.7500  0.7500  0.7500
Ta  0.2500  0.2500  0.2500
Te  0.5000  0.5000  0.5000
S  0.0000  0.0000  0.0000

Values from the calculation:
* excess energy over the best structure of this formula in the dataset: 0.0000 eV/atom
* energy relative to the elements, uncorrected: 0.06 eV/atom